Entry 1:
10
Lattice="-0.858 -5.954 -2.001 6.203 -3.129 -3.393 1.770 -5.394 5.248" Properties=species:S:1:pos:R:3 comment="PBE Ac4ErAs5, relaxed" sg=I4 pbc="T T T"
Ac 3.523 -7.951 2.040
Ac 5.336 -10.519 -1.139
Ac 1.777 -3.971 0.989
Ac 3.590 -6.539 -2.189
Er -0.002 -0.011 -0.004
As 3.020 -10.949 1.138
As 5.865 -7.578 -0.072
As 1.248 -6.911 -0.077
As 4.093 -3.539 -1.288
As -0.429 -2.978 -1.001


Entry 2:
4
Lattice="5.875 0.000 0.000 2.938 5.088 0.000 2.938 1.696 4.797" Properties=species:S:1:pos:R:3 comment="PBE Ac2TmMg, relaxed" sg=Fm-3m relative_energy_kj_per_mol_atoms=1.4 pbc="T T T"
Ac 2.938 1.696 1.199
Ac 8.813 5.088 3.598
Tm 0.000 0.000 0.000
Mg 5.875 3.392 2.399


Entry 3:
4
Lattice="3.809 0.000 0.000 1.904 3.298 0.000 1.904 1.099 13.030" Properties=species:S:1:pos:R:3 comment="PBE Ac2NdCd, relaxed" sg=R-3m relative_energy_kj_per_mol_atoms=30.8 pbc="T T T"
Ac 1.904 1.099 9.566
Ac 5.713 3.298 3.465
Nd 3.809 2.199 6.515
Cd 0.000 0.000 0.000


Entry 4:
4
Lattice="5.538 -0.016 0.000 -2.444 4.970 0.000 0.000 0.000 3.169" Properties=species:S:1:pos:R:3 comment="PBE LaTa2Se, relaxed" sg=Cmmm formation_energy_uncorrected_mev_per_atom=519 pbc="T T T"
La 2.769 -0.008 1.584
Se -1.222 2.485 1.584
Ta 0.000 0.000 0.000
Ta 1.547 2.477 0.000


no.,final energy (eV per cell),calculated volume (Å³/cell)
1,-58.7,315.2
2,-14.2,143.4
3,-13.2,163.7
4,-30.0,87.1